1.
K4CrTe | GGA-PBE | optimized geometry

Unit cell a=7.1516 b=7.1516 c=7.1516 alpha=60.00 beta=60.00 gamma=60.00
Last column: nearest neighbours and their distance in Å.
Element x y z (fractional)
K 0.1238 0.1238 0.1238  6 K 3.54-3.61
K 0.1238 0.1238 0.6286  6 K 3.54-3.61
K 0.1238 0.6286 0.1238  6 K 3.54-3.61
K 0.6286 0.1238 0.1238  6 K 3.54-3.61
Cr 0.5000 0.5000 0.5000  12 K 4.20, 4 Te 4.38
Te 0.7500 0.7500 0.7500  12 K 4.19, 4 Cr 4.38

Computed properties:
Uncorrected energy: -2.45 eV/atom
Total moment: 5.9 μB per formula unit
Energy relative to the elements, uncorrected: 0.41 eV per atom
DOS at the Fermi energy: 2.8 states/eV/f.u.
Theoretical density: 2.2 g/cm3


2.
KCr3Te | GGA-PBE | optimized geometry

Unit cell a=5.4365 b=5.4365 c=5.4365 alpha=90.00 beta=90.00 gamma=90.00
Last column: nearest neighbours and their distance in Å.
Element x y z (fractional)
K 0.0000 0.0000 0.0000  6 Cr 2.72
Cr 0.0000 0.0000 0.5000  2 K 2.72
Cr 0.0000 0.5000 0.0000  2 K 2.72
Cr 0.5000 0.0000 0.0000  2 K 2.72
Te 0.5000 0.5000 0.5000  12 Cr 3.84

Computed properties:
Uncorrected energy: -4.57 eV/atom
Total moment: 15.0 μB per formula unit
Energy relative to the elements, uncorrected: 2.05 eV per atom
DOS at the Fermi energy: 0.9 states/eV/f.u.
Theoretical density: 3.3 g/cm3


3.
KCrTe | GGA-PBE | optimized geometry

Unit cell a=4.7688 b=4.7688 c=5.1605 alpha=90.00 beta=90.00 gamma=120.00
Last column: nearest neighbours and their distance in Å.
Element x y z (fractional)
K 0.0000 0.0000 0.0000  6 Cr 3.77, 6 Te 3.77
Cr 0.3333 0.6667 0.5000  3 Te 2.75
Te 0.6667 0.3333 0.5000  3 Cr 2.75

Computed properties:
Uncorrected energy: -4.82 eV/atom
Total moment: 5.0 μB per formula unit
Energy relative to the elements, uncorrected: -0.20 eV per atom
DOS at the Fermi energy: 0.6 states/eV/f.u.
Theoretical density: 3.6 g/cm3


4.
K2CrTe | GGA-PBE | optimized geometry

Unit cell a=6.2196 b=6.2196 c=6.2196 alpha=130.56 beta=130.56 gamma=72.51
Last column: nearest neighbours and their distance in Å.
Element x y z (fractional)
K 0.0000 0.0000 0.0000  4 K 3.61, 4 Te 3.61, 4 Cr 3.68
K 0.7500 0.2500 0.5000  4 Cr 3.61, 4 K 3.61, 4 Te 3.68
Cr 0.5000 0.5000 0.0000  8 K 3.61-3.68, 4 Te 3.61
Te 0.2500 0.7500 0.5000  4 Cr 3.61, 8 K 3.61-3.68

Computed properties:
Uncorrected energy: -3.64 eV/atom
Total moment: 5.8 μB per formula unit
Energy relative to the elements, uncorrected: 0.10 eV per atom
DOS at the Fermi energy: 0.8 states/eV/f.u.
Theoretical density: 3.2 g/cm3


5.
K3CrTe3 | GGA-PBE | optimized geometry

Unit cell a=11.2429 b=11.2429 c=14.1322 alpha=90.00 beta=90.00 gamma=38.15
Last column: nearest neighbours and their distance in Å.
Element x y z (fractional)
K 0.0073 0.3480 0.8721  6 Te 3.57-3.91, 1 Cr 3.67
K 0.1520 0.4927 0.6279  6 Te 3.57-3.91, 1 Cr 3.67
K 0.1703 0.8297 0.8393  5 Te 3.51-3.67, 2 Cr 3.73
K 0.3297 0.6703 0.3393  5 Te 3.51-3.67, 2 Cr 3.73
K 0.3480 0.0073 0.1279  6 Te 3.57-3.91, 1 Cr 3.67
K 0.4927 0.1520 0.3721  6 Te 3.57-3.91, 1 Cr 3.67
K 0.5073 0.8480 0.6279  6 Te 3.57-3.91, 1 Cr 3.67
K 0.6520 0.9927 0.8721  6 Te 3.57-3.91, 1 Cr 3.67
K 0.6703 0.3297 0.6607  5 Te 3.51-3.67, 2 Cr 3.73
K 0.8297 0.1703 0.1607  5 Te 3.51-3.67, 2 Cr 3.73
K 0.8480 0.5073 0.3721  6 Te 3.57-3.91, 1 Cr 3.67
K 0.9927 0.6520 0.1279  6 Te 3.57-3.91, 1 Cr 3.67
Cr 0.0799 0.0799 0.5000  4 Te 2.61-2.64
Cr 0.4201 0.4201 0.0000  4 Te 2.61-2.64
Cr 0.5799 0.5799 0.0000  4 Te 2.61-2.64
Cr 0.9201 0.9201 0.5000  4 Te 2.61-2.64
Te 0.0183 0.6730 0.3839  1 Cr 2.61
Te 0.1730 0.5183 0.8839  1 Cr 2.61
Te 0.2117 0.7883 0.5918  2 Cr 2.64
Te 0.2883 0.7117 0.0918  2 Cr 2.64
Te 0.3270 0.9817 0.3839  1 Cr 2.61
Te 0.4817 0.8270 0.8839  1 Cr 2.61
Te 0.5183 0.1730 0.1161  1 Cr 2.61
Te 0.6730 0.0183 0.6161  1 Cr 2.61
Te 0.7117 0.2883 0.9082  2 Cr 2.64
Te 0.7883 0.2117 0.4082  2 Cr 2.64
Te 0.8270 0.4817 0.1161  1 Cr 2.61
Te 0.9817 0.3270 0.6161  1 Cr 2.61

Computed properties:
Uncorrected energy: -3.92 eV/atom
Total moment: 3.0 μB per formula unit
Energy relative to the elements, uncorrected: -0.72 eV per atom
DOS at the Fermi energy: 1.6 states/eV/f.u.
Theoretical density: 3.3 g/cm3


6.
K2CrTe | GGA-PBE | optimized geometry

Unit cell a=9.4842 b=9.4842 c=9.4842 alpha=94.25 beta=94.25 gamma=148.41
Last column: nearest neighbours and their distance in Å.
Element x y z (fractional)
K 0.3750 0.1993 0.3243  2 Cr 3.43
K 0.8007 0.1250 0.1757  2 Cr 3.43
K 0.8750 0.0507 0.6757  2 Cr 3.43
K 0.9493 0.6250 0.8243  2 Cr 3.43
Cr 0.0000 0.0000 0.0000  2 Te 2.58
Cr 0.7500 0.2500 0.5000  2 Te 2.58
Te 0.2500 0.7500 0.5000  2 Cr 2.58
Te 0.5000 0.5000 0.0000  2 Cr 2.58

Computed properties:
Uncorrected energy: -3.66 eV/atom
Total moment: 4.1 μB per formula unit
Energy relative to the elements, uncorrected: 0.08 eV per atom
DOS at the Fermi energy: 1.2 states/eV/f.u.
Theoretical density: 2.0 g/cm3


7.
K2CrTe | GGA-PBE | optimized geometry

Unit cell a=3.4907 b=4.7647 c=8.7737 alpha=90.00 beta=90.00 gamma=90.00
Last column: nearest neighbours and their distance in Å.
Element x y z (fractional)
K 0.0000 0.0000 0.2220  3 K 3.49-3.90, 4 Te 3.54, 4 Cr 3.83
K 0.0000 0.0000 0.7780  3 K 3.49-3.90, 4 Te 3.54, 4 Cr 3.83
Cr 0.5000 0.5000 0.5000  2 Cr 3.49, 8 K 3.83
Te 0.5000 0.5000 0.0000  2 Te 3.49, 8 K 3.54

Computed properties:
Uncorrected energy: -3.58 eV/atom
Total moment: 5.3 μB per formula unit
Energy relative to the elements, uncorrected: 0.16 eV per atom
DOS at the Fermi energy: 0.6 states/eV/f.u.
Theoretical density: 2.9 g/cm3


8.
K2CrTe | GGA-PBE | optimized geometry

Unit cell a=9.5518 b=9.5518 c=9.5518 alpha=28.87 beta=28.87 gamma=28.87
Last column: nearest neighbours and their distance in Å.
Element x y z (fractional)
K 0.0000 0.0000 0.0000  3 Te 3.76, 3 Cr 3.77
K 0.1875 0.1875 0.1875  3 Cr 3.76, 3 Te 3.77
Cr 0.7607 0.7607 0.7607  3 Te 2.75
Te 0.4269 0.4269 0.4269  3 Cr 2.75

Computed properties:
Uncorrected energy: -3.88 eV/atom
Total moment: 4.9 μB per formula unit
Energy relative to the elements, uncorrected: -0.14 eV per atom
DOS at the Fermi energy: 1.6 states/eV/f.u.
Theoretical density: 2.4 g/cm3


9.
KCr3Te | GGA-PBE | optimized geometry

Unit cell a=5.4174 b=5.4174 c=5.4174 alpha=90.00 beta=90.00 gamma=90.00
Last column: nearest neighbours and their distance in Å.
Element x y z (fractional)
K 0.0000 0.0000 0.0000  12 Cr 3.83
Cr 0.0000 0.5000 0.5000  2 Te 2.71
Cr 0.5000 0.0000 0.5000  2 Te 2.71
Cr 0.5000 0.5000 0.0000  2 Te 2.71
Te 0.5000 0.5000 0.5000  6 Cr 2.71

Computed properties:
Uncorrected energy: -5.58 eV/atom
Total moment: 13.7 μB per formula unit
Energy relative to the elements, uncorrected: 1.04 eV per atom
DOS at the Fermi energy: 4.5 states/eV/f.u.
Theoretical density: 3.4 g/cm3


10.
KCr2Te4 | GGA-PBE | optimized geometry

Unit cell a=14.4174 b=14.4174 c=14.4174 alpha=15.96 beta=15.96 gamma=15.96
Last column: nearest neighbours and their distance in Å.
Element x y z (fractional)
K 0.0000 0.0000 0.0000  6 Te 3.50
Cr 0.4300 0.4300 0.4300  6 Te 2.73-2.75
Cr 0.5700 0.5700 0.5700  6 Te 2.73-2.75
Te 0.1309 0.1309 0.1309  3 Cr 2.73
Te 0.2717 0.2717 0.2717  3 Cr 2.75
Te 0.7283 0.7283 0.7283  3 Cr 2.75
Te 0.8691 0.8691 0.8691  3 Cr 2.73

Computed properties:
Uncorrected energy: -5.08 eV/atom
Total moment: 5.4 μB per formula unit
Energy relative to the elements, uncorrected: -0.38 eV per atom
DOS at the Fermi energy: 3.5 states/eV/f.u.
Theoretical density: 5.5 g/cm3


11.
KCr2Te3 | GGA-PBE | optimized geometry

Unit cell a=8.1909 b=8.1909 c=10.9806 alpha=90.00 beta=90.00 gamma=150.42
Last column: nearest neighbours and their distance in Å.
Element x y z (fractional)
K 0.2443 0.7557 0.7500  8 Te 3.61-3.89, 2 Cr 3.94
K 0.7557 0.2443 0.2500  8 Te 3.61-3.89, 2 Cr 3.94
Cr 0.0000 0.0000 0.0000  6 Te 2.83-2.96
Cr 0.0000 0.0000 0.5000  6 Te 2.83-2.96
Cr 0.4666 0.5334 0.2500  4 Te 2.63-2.65
Cr 0.5334 0.4666 0.7500  4 Te 2.63-2.65
Te 0.0697 0.9303 0.2500  4 Cr 2.65-2.96
Te 0.3830 0.6170 0.0428  3 Cr 2.63-2.83
Te 0.3830 0.6170 0.4572  3 Cr 2.63-2.83
Te 0.6170 0.3830 0.5428  3 Cr 2.63-2.83
Te 0.6170 0.3830 0.9572  3 Cr 2.63-2.83
Te 0.9303 0.0697 0.7500  4 Cr 2.65-2.96

Computed properties:
Uncorrected energy: -5.29 eV/atom
Total moment: 7.0 μB per formula unit
Energy relative to the elements, uncorrected: -0.33 eV per atom
DOS at the Fermi energy: 3.0 states/eV/f.u.
Theoretical density: 4.8 g/cm3


12.
KCr5Te8 | GGA-PBE | optimized geometry

Unit cell a=10.4748 b=10.4748 c=9.5758 alpha=104.50 beta=104.50 gamma=22.11
Last column: nearest neighbours and their distance in Å.
Element x y z (fractional)
K 0.0000 0.0000 0.0000  10 Te 3.74-4.07, 2 K 4.02
Cr 0.1580 0.1580 0.4809  6 Te 2.71-2.86
Cr 0.2041 0.2041 0.8300  6 Te 2.70-2.82
Cr 0.5000 0.5000 0.5000  6 Te 2.73-2.74
Cr 0.7959 0.7959 0.1700  6 Te 2.70-2.82
Cr 0.8420 0.8420 0.5191  6 Te 2.71-2.86
Te 0.0733 0.0733 0.6598  4 Cr 2.73-2.77
Te 0.2614 0.2614 0.3446  5 Cr 2.76-2.86
Te 0.3290 0.3290 0.0090  3 Cr 2.70-2.72
Te 0.4138 0.4138 0.6764  3 Cr 2.71-2.74
Te 0.5862 0.5862 0.3236  3 Cr 2.71-2.74
Te 0.6710 0.6710 0.9910  3 Cr 2.70-2.72
Te 0.7386 0.7386 0.6554  5 Cr 2.76-2.86
Te 0.9267 0.9267 0.3402  4 Cr 2.73-2.77

Computed properties:
Uncorrected energy: -5.63 eV/atom
Total moment: 15.1 μB per formula unit
Energy relative to the elements, uncorrected: -0.32 eV per atom
DOS at the Fermi energy: 4.7 states/eV/f.u.
Theoretical density: 5.7 g/cm3